Entry 1:
Computed, not measured: a relaxed Cd2InAg crystal at the GGA-PBEsol level of DFT.

The raw total energy comes out at -2.17 eV per atom. For the magnetic moment, the calculation gives 0.0 μB/cell. As for the space group: No. 99.

a = 3.0693 Å, b = 3.0693 Å, c = 8.6432 Å
α = 90.00°, β = 90.00°, γ = 90.00°
Last column: nearest neighbours and their distance in Å.
Fractional positions:
Cd 0.5000 0.5000 0.2400  8 Cd 3.07-3.09, 4 In 3.23
Cd 0.0000 0.0000 0.9851  4 Ag 2.93, 8 Cd 3.07-3.09
Ag 0.5000 0.5000 0.7580  4 Cd 2.93, 4 In 3.01, 4 Ag 3.07
In 0.0000 0.0000 0.5169  4 Ag 3.01, 4 In 3.07, 4 Cd 3.23



Entry 2:
Computed, not measured: a relaxed LiAg2Pb crystal at the GGA-PBEsol level of DFT.

The raw total energy comes out at -3.26 eV per atom. For the magnetic moment, the calculation gives 0.0 μB/cell. As for the space group: No. 119.

a = 4.4292 Å, b = 4.4292 Å, c = 4.9085 Å
α = 116.82°, β = 116.82°, γ = 90.00°
Last column: nearest neighbours and their distance in Å.
Fractional positions:
Ag 0.0000 0.0000 0.0000  4 Pb 2.91, 4 Ag 2.91, 4 Li 3.13
Ag 0.7500 0.2500 0.5000  4 Li 2.91, 4 Ag 2.91, 4 Pb 3.13
Pb 0.2500 0.7500 0.5000  4 Li 2.91, 8 Ag 2.91-3.13
Li 0.5000 0.5000 0.0000  4 Pb 2.91, 8 Ag 2.91-3.13



Entry 3:
Computed, not measured: a relaxed Sr2NiP2O8 crystal at the GGA-PBEsol level of DFT.

The raw total energy comes out at -7.34 eV per atom. For the magnetic moment, the calculation gives 12.1 μB/cell. As for the space group: No. 14. The raw formation energy is -2.464 eV/atom.

a = 8.9794 Å, b = 9.9464 Å, c = 11.6220 Å
α = 90.00°, β = 97.35°, γ = 90.00°
Last column: nearest neighbours and their distance in Å.
Fractional positions:
Sr 0.1956 0.3829 0.4950  5 O 2.43-2.56
Sr 0.6956 0.1171 0.4950  5 O 2.43-2.56
Sr 0.1672 0.8502 0.1539  7 O 2.46-2.71
Sr 0.3395 0.2266 0.1885  7 O 2.49-2.71
Sr 0.6605 0.7734 0.8115  7 O 2.49-2.71
Sr 0.8395 0.2734 0.1885  7 O 2.49-2.71
Sr 0.1605 0.7266 0.8115  7 O 2.49-2.71
Sr 0.3328 0.3502 0.8461  7 O 2.46-2.71
Sr 0.8328 0.1498 0.8461  7 O 2.46-2.71
Sr 0.6672 0.6498 0.1539  7 O 2.46-2.71
Sr 0.8044 0.6171 0.5050  5 O 2.43-2.56
Sr 0.3044 0.8829 0.5050  5 O 2.43-2.56
O 0.8976 0.0468 0.6558  1 P 1.56
O 0.3487 0.1341 0.7066  1 P 1.53
O 0.1163 0.3106 0.6854  1 P 1.56
O 0.6105 0.3838 0.8478  1 P 1.54
O 0.6340 0.3681 0.5001  1 P 1.55
O 0.8895 0.8838 0.1522  1 P 1.54
O 0.3660 0.6319 0.4999  1 P 1.55
O 0.0660 0.4806 0.8367  1 P 1.56
O 0.5660 0.0194 0.8367  1 P 1.56
O 0.6165 0.2919 0.2946  1 P 1.53
O 0.6308 0.4178 0.0648  1 P 1.53
O 0.1513 0.6341 0.2934  1 P 1.53
O 0.1105 0.1162 0.8478  1 P 1.54
O 0.2722 0.9217 0.9436  1 P 1.56
O 0.0274 0.5376 0.6259  1 P 1.54
O 0.6024 0.5468 0.3442  1 P 1.56
O 0.3835 0.7081 0.7054  1 P 1.53
O 0.8487 0.3659 0.7066  1 P 1.53
O 0.3866 0.3979 0.3571  1 P 1.57
O 0.8692 0.9178 0.9352  1 P 1.53
O 0.1413 0.6564 0.0221  1 P 1.58
O 0.6413 0.8436 0.0221  1 P 1.58
O 0.3587 0.1564 0.9779  1 P 1.58
O 0.1165 0.2081 0.2946  1 P 1.53
O 0.8835 0.7919 0.7054  1 P 1.53
O 0.4726 0.0376 0.3741  1 P 1.54
O 0.1024 0.9532 0.3442  1 P 1.56
O 0.6134 0.6021 0.6429  1 P 1.57
O 0.3976 0.4532 0.6558  1 P 1.56
O 0.1134 0.8979 0.6429  1 P 1.57
O 0.3895 0.6162 0.1522  1 P 1.54
O 0.8866 0.1021 0.3571  1 P 1.57
O 0.8660 0.8681 0.4999  1 P 1.55
O 0.9340 0.5194 0.1633  1 P 1.56
O 0.4340 0.9806 0.1633  1 P 1.56
O 0.3837 0.8106 0.3146  1 P 1.56
O 0.8587 0.3436 0.9779  1 P 1.58
O 0.6513 0.8659 0.2934  1 P 1.53
O 0.8837 0.6894 0.3146  1 P 1.56
O 0.1308 0.0822 0.0648  1 P 1.53
O 0.2278 0.4217 0.0564  1 P 1.56
O 0.5274 0.9624 0.6259  1 P 1.54
O 0.7722 0.5783 0.9436  1 P 1.56
O 0.1340 0.1319 0.5001  1 P 1.55
O 0.3692 0.5822 0.9352  1 P 1.53
O 0.9726 0.4624 0.3741  1 P 1.54
O 0.6163 0.1894 0.6854  1 P 1.56
O 0.7278 0.0783 0.0564  1 P 1.56
P 0.7115 0.4328 0.9570  4 O 1.53-1.58
P 0.0626 0.1008 0.3746  4 O 1.53-1.57
P 0.0071 0.4247 0.7138  4 O 1.53-1.56
P 0.5626 0.3992 0.3746  4 O 1.53-1.57
P 0.2115 0.0672 0.9570  4 O 1.53-1.58
P 0.9374 0.8992 0.6254  4 O 1.53-1.57
P 0.7885 0.9328 0.0430  4 O 1.53-1.58
P 0.4929 0.9247 0.2862  4 O 1.53-1.56
P 0.2885 0.5672 0.0430  4 O 1.53-1.58
P 0.5071 0.0753 0.7138  4 O 1.53-1.56
P 0.9929 0.5753 0.2862  4 O 1.53-1.56
P 0.4374 0.6008 0.6254  4 O 1.53-1.57
Ni 0.6256 0.3918 0.6762  6 O 2.01-2.13
Ni 0.8744 0.8918 0.3238  6 O 2.01-2.13
Ni 0.5000 0.0000 0.0000  6 O 2.00-2.21
Ni 0.3744 0.6082 0.3238  6 O 2.01-2.13
Ni 0.0000 0.5000 0.0000  6 O 2.00-2.21
Ni 0.1256 0.1082 0.6762  6 O 2.01-2.13